! Ca4YAs meta-GGA SCAN single point on PBEsol structure; values from VASP
&SYSTEM
  ibrav = 0, nat = 6, ntyp = 3
/
ATOMIC_SPECIES
Ca 40.08 Ca.upf
Y 88.91 Y.upf
As 74.92 As.upf
CELL_PARAMETERS angstrom
-5.3235 -1.6998 3.4209
-4.8638 -3.2766 -2.9221
-1.0682 -6.2913 1.4866
ATOMIC_POSITIONS crystal
Ca 0.3751 0.3751 0.8748
Ca 0.8748 0.3751 0.3751
Ca 0.3751 0.8748 0.3751
Ca 0.3751 0.3751 0.3751
Y 0.7500 0.7500 0.7500
As 0.0000 0.0000 0.0000
! Total magnetic moment in μB/cell: 2.02
! Calculated formation energy in eV/atom: 0.3314
! E in eV/cell: -84.699
! D(E_F) in states/eV/cell: 3.2

---

! K2TlGaF6 meta-GGA SCAN single point on PBEsol structure; values from VASP
&SYSTEM
  ibrav = 0, nat = 10, ntyp = 4
/
ATOMIC_SPECIES
F 19.00 F.upf
Tl 204.38 Tl.upf
Ga 69.72 Ga.upf
K 39.10 K.upf
CELL_PARAMETERS angstrom
-5.9656 -1.8782 -0.8343
-3.5437 -1.5563 4.9832
-4.7623 3.7389 1.7757
ATOMIC_POSITIONS crystal
F 0.2867 0.2867 0.7133
F 0.2867 0.7133 0.2867
F 0.7133 0.2867 0.2867
F 0.7133 0.7133 0.2867
F 0.7133 0.2867 0.7133
F 0.2867 0.7133 0.7133
Tl 0.0000 0.0000 0.0000
Ga 0.5000 0.5000 0.5000
K 0.2500 0.2500 0.2500
K 0.7500 0.7500 0.7500
! Total magnetic moment in μB/cell: 0.00
! Raw formation energy in eV per atom: -2.698
! E in eV/cell: -153.584
! D(E_F) in states/eV/cell: 0.0